No. 1
First-principles (PBE-GGA) data for an optimized crystal structure of NaBiS2O8, as listed in Alexandria via LeMat-Bulk.

The structure belongs to space group P-3 (No. 147); the cell edges are 5.1271, 5.1271 and 8.0273 Å and the angles 90.00°, 90.00° and 120.00°. The distinct sites, in fractional coordinates, are Na at (0.0000, 0.0000, 0.0000), Bi at (0.0000, 0.0000, 0.5000), S at (0.3333, 0.6667, 0.7572), O at (0.0724, 0.3785, 0.6916) and O at (0.3333, 0.6667, 0.9384).

Its formation energy (no corrections) is -17.549 eV/f.u. Its total energy is -5.89 eV per atom.

---

No. 2
First-principles (PBE-GGA) data for an optimized crystal structure of Cs2Ta2Fe, as listed in Alexandria via LeMat-Bulk.

The structure belongs to space group P4/mbm (No. 127); the cell edges are 6.4125, 6.4125 and 6.8130 Å and the angles 90.00°, 90.00° and 90.00°. The distinct sites, in fractional coordinates, are Cs at (0.1884, 0.3116, 0.0000), Ta at (0.1618, 0.6618, 0.5000) and Fe at (0.0000, 0.0000, 0.5000).

Its formation enthalpy at 0 K is 1310 meV/atom. Its total energy is -5.46 eV per atom.

---

No. 3
First-principles (PBE-GGA) data for an optimized crystal structure of Mg3Mo5, as listed in Alexandria via LeMat-Bulk.

The structure belongs to space group C2/m (No. 12); the cell edges are 5.2077, 14.8922 and 7.5438 Å and the angles 90.00°, 108.73° and 90.00°. The distinct sites, in fractional coordinates, are Mg at (0.0000, 0.1750, 0.0000), Mg at (0.0000, 0.2738, 0.5000), Mg at (0.0696, 0.5000, 0.3454), Mo at (0.0655, 0.0932, 0.3447), Mo at (0.0794, 0.3414, 0.1726) and Mo at (0.2339, 0.0000, 0.9790).

The polymorph energy (0 for the lowest one) is 1.01 eV/f.u. Its formation enthalpy at 0 K is 460 meV/atom. Its total energy is -6.91 eV per atom.

---

No. 4
First-principles (PBE-GGA) data for an optimized crystal structure of Pm5DyBi4, as listed in Alexandria via LeMat-Bulk.

The structure belongs to space group C2/m (No. 12); the cell edges are 19.3841, 4.4708 and 8.7121 Å and the angles 90.00°, 105.81° and 90.00°. The distinct sites, in fractional coordinates, are Pm at (0.0000, 0.0000, 0.0000), Pm at (0.1638, 0.5000, 0.3189), Pm at (0.1782, 0.5000, 0.8518), Dy at (0.0000, 0.0000, 0.5000), Bi at (0.0081, 0.5000, 0.7527) and Bi at (0.1676, 0.0000, 0.5842).

Its formation enthalpy at 0 K is -546 meV/atom. Its total energy is -4.93 eV per atom.

---

No. 5
First-principles (PBE-GGA) data for an optimized crystal structure of KScTl2Br6, as listed in Alexandria via LeMat-Bulk.

The structure belongs to space group P1 (No. 1); the cell edges are 8.0099, 8.0239 and 8.1780 Å and the angles 90.03°, 119.31° and 119.91°. The distinct sites, in fractional coordinates, are K at (0.0000, 0.0000, 0.0000), Sc at (0.9865, 0.4933, 0.4795), Tl at (0.5696, 0.2849, 0.8534), Tl at (0.5844, 0.7927, 0.3764), Br at (0.0740, 0.3776, 0.2383), Br at (0.0783, 0.2661, 0.6981), Br at (0.4318, 0.8121, 0.6980), Br at (0.5427, 0.1659, 0.2380), Br at (0.8600, 0.6949, 0.2370) and Br at (0.8853, 0.6200, 0.6977).

Its formation energy (no corrections) is -13.839 eV/f.u. Its total energy is -3.60 eV per atom.

---

No. 6
First-principles (PBE-GGA) data for an optimized crystal structure of AcDy3Tm2, as listed in Alexandria via LeMat-Bulk.

The structure belongs to space group C2/c (No. 15); the cell edges are 9.1005, 9.8957 and 8.9856 Å and the angles 90.00°, 102.28° and 90.00°. The distinct sites, in fractional coordinates, are Ac at (0.0000, 0.0698, 0.2500), Dy at (0.0000, 0.4115, 0.2500), Dy at (0.2297, 0.4103, 0.9882) and Tm at (0.1268, 0.2569, 0.6252).

Its formation enthalpy at 0 K is 105 meV/atom. Its total energy is -4.37 eV per atom.

---

No. 7
First-principles (PBE-GGA) data for an optimized crystal structure of Na2Ag4Pb5, as listed in Alexandria via LeMat-Bulk.

The structure belongs to space group C2/m (No. 12); the cell edges are 13.4641, 6.5077 and 9.2985 Å and the angles 90.00°, 133.33° and 90.00°. The distinct sites, in fractional coordinates, are Na at (0.1987, 0.0000, 0.2006), Ag at (0.2488, 0.5000, 0.0808), Ag at (0.2490, 0.5000, 0.4132), Pb at (0.9999, 0.2542, 0.3226) and Pb at (0.0000, 0.5000, 0.0000).

Its formation enthalpy at 0 K is 42 meV/atom. Its total energy is -2.92 eV per atom.

---

No. 8
First-principles (PBE-GGA) data for an optimized crystal structure of CsMn2InCl8, as listed in Alexandria via LeMat-Bulk.

The structure belongs to space group P-1 (No. 2); the cell edges are 6.6612, 6.7306 and 9.3427 Å and the angles 80.31°, 81.11° and 75.79°. The distinct sites, in fractional coordinates, are Cs at (0.0000, 0.0000, 0.0000), Mn at (0.4373, 0.4622, 0.2035), In at (0.0000, 0.0000, 0.5000), Cl at (0.1496, 0.3779, 0.3289), Cl at (0.2908, 0.4509, 0.9678), Cl at (0.3386, 0.7905, 0.2590) and Cl at (0.3491, 0.8341, 0.7028).

Its formation energy (no corrections) is -13.515 eV/f.u. Its total energy is -4.18 eV per atom.